Entry 1:
The following is a DFT calculation (GGA-PBE) of Te2PRu after structural relaxation.

Geometry as extended XYZ:
```
4
Lattice="7.027 -1.872 0.021 7.027 1.872 0.021 6.519 0.000 3.223" Properties=species:S:1:pos:R:3 pbc="T T T"
Te 15.535 0.000 2.465
Te 5.039 0.000 0.800
P 0.000 0.000 0.000
Ru 10.287 0.000 1.632
```

Values from the calculation:
SG   R-3m, No. 166
Magnetization   0.0 μB/f.u.
E_tot   -19.8 eV/cell


Entry 2:
The following is a DFT calculation (GGA-PBE) of Te2PRu after structural relaxation.

Geometry as extended XYZ:
```
4
Lattice="2.336 1.624 4.432 -5.219 0.355 -0.608 -0.400 -3.392 1.453" Properties=species:S:1:pos:R:3 pbc="T T T"
Te -4.886 0.411 -0.385
Te 0.332 -0.375 3.956
P -2.027 0.891 1.522
Ru -3.401 -1.002 1.465
```

Values from the calculation:
SG   Amm2, No. 38
Magnetization   0.0 μB/f.u.
E_tot   -20.9 eV/cell


Entry 3:
The following is a DFT calculation (GGA-PBE) of TeP2Ru after structural relaxation.

Geometry as extended XYZ:
```
4
Lattice="-2.327 -3.817 -1.454 -0.284 -2.279 4.101 -1.351 4.443 -0.733" Properties=species:S:1:pos:R:3 pbc="T T T"
P 0.000 0.000 0.000
P -1.470 -0.443 2.346
Ru -1.306 -3.048 1.324
Te -2.492 -1.211 -0.431
```

Values from the calculation:
SG   I-4m2, No. 119
Magnetization   0.0 μB/f.u.
E_tot   -20.8 eV/cell


Entry 4:
The following is a DFT calculation (GGA-PBE) of TeP2Ru after structural relaxation.

Geometry as extended XYZ:
```
4
Lattice="-1.365 -3.562 -0.716 -0.439 -2.172 -3.187 7.605 -1.009 2.282" Properties=species:S:1:pos:R:3 pbc="T T T"
P 6.680 -1.446 1.690
P 3.826 -2.935 -0.218
Ru 4.351 -5.057 -1.215
Te 1.450 -1.686 -0.405
```

Values from the calculation:
SG   C2/m, No. 12
Magnetization   0.0 μB/f.u.
E_tot   -23.5 eV/cell


Entry 5:
The following is a DFT calculation (GGA-PBE) of TePRu2 after structural relaxation.

Geometry as extended XYZ:
```
4
Lattice="0.000 2.943 4.135 2.862 0.000 4.135 2.862 2.943 0.000" Properties=species:S:1:pos:R:3 pbc="T T T"
Te 0.000 0.000 0.000
P 2.862 2.943 4.135
Ru 0.000 1.471 2.067
Ru 2.862 1.471 2.067
```

Values from the calculation:
SG   Fmmm, No. 69
Magnetization   0.0 μB/f.u.
E_tot   -25.1 eV/cell
Excess energy over the best structure of this formula in the dataset   690 meV/atom


Entry 6:
The following is a DFT calculation (GGA-PBE) of Te2PRu after structural relaxation.

Geometry as extended XYZ:
```
4
Lattice="2.747 -0.712 7.796 4.076 -3.959 6.046 6.034 -0.584 5.664" Properties=species:S:1:pos:R:3 pbc="T T T"
Ru 6.428 -2.628 9.753
Te 11.459 -4.684 17.384
Te 1.398 -0.571 2.121
P 0.000 0.000 0.000
```

Values from the calculation:
SG   R-3m, No. 166
Magnetization   0.0 μB/f.u.
E_tot   -19.3 eV/cell